#one
Material: AlFeNi2H
Method: DFT, PBE
State: optimized geometry

Cell: 3.5528 3.5528 3.8885 Å, 90.00 90.00 90.00°
Fractional positions:
1 Ni 0.0000 0.5000 0.0000
2 Ni 0.5000 0.0000 0.0000
3 H 0.0000 0.0000 0.0000
4 Al 0.0000 0.0000 0.5000
5 Fe 0.5000 0.5000 0.5000

Computed properties:
DOS(E_F) = 1.889 states/eV/cell

#two
Material: AlFeNi2H
Method: DFT, PBE
State: optimized geometry

Cell: 3.5901 3.5901 3.7397 Å, 90.00 90.00 90.00°
Fractional positions:
1 Ni 0.5000 0.0000 0.0000
2 Al 0.5000 0.5000 0.5000
3 Fe 0.0000 0.0000 0.5000
4 H 0.0000 0.0000 0.0000
5 Ni 0.0000 0.5000 0.0000

Computed properties:
DOS(E_F) = 3.343 states/eV/cell

Quick look at relative energies in meV per atom: #one 135; #two 0.

#one
Material: AlFe2HOs
Method: DFT, PBE
State: optimized geometry

Cell: 3.7240 3.7240 3.9116 Å, 90.00 90.00 90.00°
Fractional positions:
1 Al 0.5000 0.5000 0.5000
2 H 0.0000 0.0000 0.0000
3 Os 0.0000 0.0000 0.5000
4 Fe 0.5000 0.0000 0.0000
5 Fe 0.0000 0.5000 0.0000

Computed properties:
DOS(E_F) = 4.424 states/eV/cell

#two
Material: AlFe2HOs
Method: DFT, PBE
State: optimized geometry

Cell: 3.6158 3.6158 4.0799 Å, 90.00 90.00 90.00°
Fractional positions:
1 Al 0.0000 0.0000 0.5000
2 Fe 0.5000 0.0000 0.0000
3 Fe 0.0000 0.5000 0.0000
4 H 0.0000 0.0000 0.0000
5 Os 0.5000 0.5000 0.5000

Computed properties:
DOS(E_F) = 4.292 states/eV/cell

Quick look at relative energies in meV per atom: #one 0; #two 76.

#one
Material: AlFe2HPd
Method: DFT, PBE
State: optimized geometry

Cell: 3.6022 3.6022 4.2054 Å, 90.00 90.00 90.00°
Fractional positions:
1 Fe 0.5000 0.0000 0.0000
2 H 0.0000 0.0000 0.0000
3 Pd 0.5000 0.5000 0.5000
4 Fe 0.0000 0.5000 0.0000
5 Al 0.0000 0.0000 0.5000

Computed properties:
DOS(E_F) = 2.281 states/eV/cell

#two
Material: AlFe2HPd
Method: DFT, PBE
State: optimized geometry

Cell: 3.6348 3.6348 4.1200 Å, 90.00 90.00 90.00°
Fractional positions:
1 H 0.0000 0.0000 0.0000
2 Fe 0.0000 0.5000 0.0000
3 Al 0.5000 0.5000 0.5000
4 Pd 0.0000 0.0000 0.5000
5 Fe 0.5000 0.0000 0.0000

Computed properties:
DOS(E_F) = 1.644 states/eV/cell

Quick look at relative energies in meV per atom: #one 52; #two 0.

#one
Material: AlFe2HRu
Method: DFT, PBE
State: optimized geometry

Cell: 3.6921 3.6921 3.9628 Å, 90.00 90.00 90.00°
Fractional positions:
1 Ru 0.0000 0.0000 0.5000
2 Al 0.5000 0.5000 0.5000
3 H 0.0000 0.0000 0.0000
4 Fe 0.0000 0.5000 0.0000
5 Fe 0.5000 0.0000 0.0000

Computed properties:
DOS(E_F) = 3.864 states/eV/cell

#two
Material: AlFe2HRu
Method: DFT, PBE
State: optimized geometry

Cell: 3.5933 3.5933 4.1579 Å, 90.00 90.00 90.00°
Fractional positions:
1 Fe 0.0000 0.5000 0.0000
2 H 0.0000 0.0000 0.0000
3 Ru 0.5000 0.5000 0.5000
4 Fe 0.5000 0.0000 0.0000
5 Al 0.0000 0.0000 0.5000

Computed properties:
DOS(E_F) = 4.054 states/eV/cell

Quick look at relative energies in meV per atom: #one 0; #two 94.

#one
Material: Al2FeTcH
Method: DFT, PBE
State: optimized geometry

Cell: 4.1660 4.1660 3.2056 Å, 90.00 90.00 90.00°
Fractional positions:
1 Al 0.5000 0.0000 0.0000
2 H 0.0000 0.0000 0.0000
3 Tc 0.5000 0.5000 0.5000
4 Al 0.0000 0.5000 0.0000
5 Fe 0.0000 0.0000 0.5000

Computed properties:
DOS(E_F) = 4.584 states/eV/cell

#two
Material: Al2FeTcH
Method: DFT, PBE
State: optimized geometry

Cell: 4.1272 4.1272 3.3752 Å, 90.00 90.00 90.00°
Fractional positions:
1 Al 0.5000 0.0000 0.0000
2 Fe 0.5000 0.5000 0.5000
3 Al 0.0000 0.5000 0.0000
4 Tc 0.0000 0.0000 0.5000
5 H 0.0000 0.0000 0.0000

Computed properties:
DOS(E_F) = 3.672 states/eV/cell

Quick look at relative energies in meV per atom: #one 0; #two 111.

#one
Material: AlZnFe2H
Method: DFT, PBE
State: optimized geometry

Cell: 3.6602 3.6602 3.8845 Å, 90.00 90.00 90.00°
Fractional positions:
1 H 0.0000 0.0000 0.0000
2 Zn 0.5000 0.5000 0.5000
3 Fe 0.0000 0.5000 0.0000
4 Fe 0.5000 0.0000 0.0000
5 Al 0.0000 0.0000 0.5000

Computed properties:
DOS(E_F) = 3.827 states/eV/cell

#two
Material: AlZnFe2H
Method: DFT, PBE
State: optimized geometry

Cell: 3.6755 3.6755 3.8674 Å, 90.00 90.00 90.00°
Fractional positions:
1 Zn 0.0000 0.0000 0.5000
2 Al 0.5000 0.5000 0.5000
3 Fe 0.5000 0.0000 0.0000
4 H 0.0000 0.0000 0.0000
5 Fe 0.0000 0.5000 0.0000

Computed properties:
DOS(E_F) = 4.061 states/eV/cell

Quick look at relative energies in meV per atom: #one 11; #two 0.

#one
Material: HfAl2Fe2
Method: DFT, PBE
State: optimized geometry

Cell: 7.2179 7.2179 2.7267 Å, 90.00 90.00 90.00°
Fractional positions:
1 Fe 0.8301 0.3301 0.5000
2 Hf 0.0000 0.0000 0.0000
3 Al 0.8736 0.6264 0.0000
4 Hf 0.5000 0.5000 0.0000
5 Al 0.3736 0.8736 0.0000
6 Al 0.1264 0.3736 0.0000
7 Fe 0.6699 0.8301 0.5000
8 Fe 0.1699 0.6699 0.5000
9 Fe 0.3301 0.1699 0.5000
10 Al 0.6264 0.1264 0.0000

Computed properties:
DOS(E_F) = 10.445 states/eV/cell

#two
Material: HfAl2Fe2
Method: DFT, PBE
State: optimized geometry

Cell: 3.6730 3.6730 6.2570 Å, 72.93 72.93 90.00°
Fractional positions:
1 Fe 0.7500 0.2500 0.5000
2 Al 0.6094 0.6094 0.7811
3 Al 0.3906 0.3906 0.2189
4 Fe 0.2500 0.7500 0.5000
5 Hf 0.0000 0.0000 0.0000

Computed properties:
DOS(E_F) = 3.410 states/eV/cell

Quick look at relative energies in meV per atom: #one 0; #two 63.

#one
Material: AlFeHg
Method: DFT, PBE
State: optimized geometry

Cell: 2.9354 2.9354 6.6798 Å, 90.00 90.00 120.00°
Fractional positions:
1 Fe 0.3333 0.6667 0.3142
2 Hg 0.6667 0.3333 0.6565
3 Al 0.0000 0.0000 0.0293

Computed properties:
DOS(E_F) = 1.699 states/eV/cell

#two
Material: AlFeHg
Method: DFT, PBE
State: optimized geometry

Cell: 6.1983 6.1984 2.8900 Å, 76.52 76.52 26.96°
Fractional positions:
1 Al 0.9784 0.9784 0.0216
2 Hg 0.6743 0.6743 0.3257
3 Fe 0.3473 0.3473 0.6527

Computed properties:
DOS(E_F) = 2.751 states/eV/cell

Quick look at relative energies in meV per atom: #one 53; #two 0.